1.
Here is crystalline BaCu2Se at its relaxed geometry from Alexandria via LeMat-Bulk. Energies are from PBE-GGA.

CIF file:
```
data_BaCu2Se
_space_group_name_H-M_alt 'I m m m'
_space_group_IT_number 71
_space_group_name_Hall '-I 2 2'
_cell_length_a 4.3909
_cell_length_b 6.0918
_cell_length_c 7.4965
_cell_angle_alpha 90.00
_cell_angle_beta 90.00
_cell_angle_gamma 90.00
loop_
_atom_site_label
_atom_site_type_symbol
_atom_site_fract_x
_atom_site_fract_y
_atom_site_fract_z
Ba1 Ba 0.0000 0.0000 0.0000
Cu1 Cu 0.0000 0.5000 0.1691
Se1 Se 0.0000 0.0000 0.5000
```

E ... -3.5429 eV per atom

---

2.
Here is crystalline Ba2CuSe at its relaxed geometry from Alexandria via LeMat-Bulk. Energies are from PBE-GGA.

CIF file:
```
data_Ba2CuSe
_space_group_name_H-M_alt 'I m m 2'
_space_group_IT_number 44
_cell_length_a 4.2441
_cell_length_b 4.3284
_cell_length_c 16.2617
_cell_angle_alpha 90.00
_cell_angle_beta 90.00
_cell_angle_gamma 90.00
loop_
_space_group_symop_operation_xyz
'x,y,z'
'-x,-y,z'
'-x,y,z'
'x,-y,z'
'x+1/2,y+1/2,z+1/2'
'-x+1/2,-y+1/2,z+1/2'
'-x+1/2,y+1/2,z+1/2'
'x+1/2,-y+1/2,z+1/2'
loop_
_atom_site_label
_atom_site_type_symbol
_atom_site_fract_x
_atom_site_fract_y
_atom_site_fract_z
Ba1 Ba 0.0000 0.0000 0.0000
Ba2 Ba 0.0000 0.5000 0.2414
Cu1 Cu 0.0000 0.5000 0.8341
Se1 Se 0.0000 0.0000 0.5821
```

E ... -3.6524 eV per atom

---

3.
Here is crystalline BaCuSe2 at its relaxed geometry from Alexandria via LeMat-Bulk. Energies are from PBE-GGA.

CIF file:
```
data_BaCuSe2
_space_group_name_H-M_alt 'C 1 m 1'
_space_group_IT_number 8
_cell_length_a 12.6302
_cell_length_b 4.2760
_cell_length_c 4.9614
_cell_angle_alpha 90.00
_cell_angle_beta 109.92
_cell_angle_gamma 90.00
loop_
_space_group_symop_operation_xyz
'x,y,z'
'x,-y,z'
'x+1/2,y+1/2,z'
'x+1/2,-y+1/2,z'
loop_
_atom_site_label
_atom_site_type_symbol
_atom_site_fract_x
_atom_site_fract_y
_atom_site_fract_z
Ba1 Ba 0.0000 0.0000 0.0000
Cu1 Cu 0.2066 0.5000 0.8327
Se1 Se 0.0202 0.5000 0.5150
Se2 Se 0.2775 0.0000 0.9937
```

E ... -4.2005 eV per atom

---

4.
Here is crystalline BaCuSe2 at its relaxed geometry from Alexandria via LeMat-Bulk. Energies are from PBE-GGA.

CIF file:
```
data_BaCuSe2
_space_group_name_H-M_alt 'R -3 m'
_space_group_IT_number 166
_space_group_name_Hall '-R 3 2"'
_cell_length_a 3.9031
_cell_length_b 3.9031
_cell_length_c 26.3346
_cell_angle_alpha 90.00
_cell_angle_beta 90.00
_cell_angle_gamma 120.00
loop_
_atom_site_label
_atom_site_type_symbol
_atom_site_fract_x
_atom_site_fract_y
_atom_site_fract_z
Ba1 Ba 0.0000 0.0000 0.0000
Cu1 Cu 0.0000 0.0000 0.5000
Se1 Se 0.0000 0.0000 0.1187
```

E ... -3.4015 eV per atom

---

5.
Here is crystalline BaCuSe2 at its relaxed geometry from Alexandria via LeMat-Bulk. Energies are from PBE-GGA.

CIF file:
```
data_BaCuSe2
_space_group_name_H-M_alt 'C 1 2/m 1'
_space_group_IT_number 12
_cell_length_a 6.5826
_cell_length_b 7.7032
_cell_length_c 4.0678
_cell_angle_alpha 90.00
_cell_angle_beta 90.34
_cell_angle_gamma 90.00
loop_
_space_group_symop_operation_xyz
'x,y,z'
'-x,-y,-z'
'-x,y,-z'
'x,-y,z'
'x+1/2,y+1/2,z'
'-x+1/2,-y+1/2,-z'
'-x+1/2,y+1/2,-z'
'x+1/2,-y+1/2,z'
loop_
_atom_site_label
_atom_site_type_symbol
_atom_site_fract_x
_atom_site_fract_y
_atom_site_fract_z
Ba1 Ba 0.0000 0.0000 0.0000
Cu1 Cu 0.0000 0.5000 0.0000
Se1 Se 0.2500 0.2500 0.5000
```

E ... -3.7666 eV per atom

---

6.
Here is crystalline BaCu2Se2 at its relaxed geometry from Alexandria via LeMat-Bulk. Energies are from PBE-GGA.

CIF file:
```
data_BaCu2Se2
_space_group_name_H-M_alt 'F d d d'
_space_group_IT_number 70
_cell_length_a 7.9663
_cell_length_b 10.7027
_cell_length_c 10.9526
_cell_angle_alpha 90.00
_cell_angle_beta 90.00
_cell_angle_gamma 90.00
loop_
_space_group_symop_operation_xyz
'x,y,z'
'-x,-y,-z'
'-x+1/4,-y+1/4,z'
'x+1/4,y+1/4,-z'
'x,-y+1/4,-z+1/4'
'-x,y+1/4,z+1/4'
'-x+1/4,y,-z+1/4'
'x+1/4,-y,z+1/4'
'x,y+1/2,z+1/2'
'-x,-y+1/2,-z+1/2'
'-x+1/4,-y+3/4,z+1/2'
'x+1/4,y+3/4,-z+1/2'
'x,-y+3/4,-z+3/4'
'-x,y+3/4,z+3/4'
'-x+1/4,y+1/2,-z+3/4'
'x+1/4,-y+1/2,z+3/4'
'x+1/2,y,z+1/2'
'-x+1/2,-y,-z+1/2'
'-x+3/4,-y+1/4,z+1/2'
'x+3/4,y+1/4,-z+1/2'
'x+1/2,-y+1/4,-z+3/4'
'-x+1/2,y+1/4,z+3/4'
'-x+3/4,y,-z+3/4'
'x+3/4,-y,z+3/4'
'x+1/2,y+1/2,z'
'-x+1/2,-y+1/2,-z'
'-x+3/4,-y+3/4,z'
'x+3/4,y+3/4,-z'
'x+1/2,-y+3/4,-z+1/4'
'-x+1/2,y+3/4,z+1/4'
'-x+3/4,y+1/2,-z+1/4'
'x+3/4,-y+1/2,z+1/4'
loop_
_atom_site_label
_atom_site_type_symbol
_atom_site_fract_x
_atom_site_fract_y
_atom_site_fract_z
Ba1 Ba 0.1250 0.1250 0.1250
Cu1 Cu 0.1250 0.0055 0.6250
Se1 Se 0.1250 0.1250 0.4254
```

E ... -4.2476 eV per atom

---

7.
Here is crystalline BaCu2Se2 at its relaxed geometry from Alexandria via LeMat-Bulk. Energies are from PBE-GGA.

CIF file:
```
data_BaCu2Se2
_space_group_name_H-M_alt 'I 4/m m m'
_space_group_IT_number 139
_space_group_name_Hall '-I 4 2'
_cell_length_a 4.0820
_cell_length_b 4.0820
_cell_length_c 13.1946
_cell_angle_alpha 90.00
_cell_angle_beta 90.00
_cell_angle_gamma 90.00
loop_
_atom_site_label
_atom_site_type_symbol
_atom_site_fract_x
_atom_site_fract_y
_atom_site_fract_z
Ba1 Ba 0.0000 0.0000 0.0000
Cu1 Cu 0.0000 0.5000 0.2500
Se1 Se 0.0000 0.0000 0.3628
```

E ... -4.2708 eV per atom

---

8.
Here is crystalline BaCu2Se at its relaxed geometry from Alexandria via LeMat-Bulk. Energies are from PBE-GGA.

CIF file:
```
data_BaCu2Se
_space_group_name_H-M_alt 'C 1 2/m 1'
_space_group_IT_number 12
_cell_length_a 11.0260
_cell_length_b 4.6478
_cell_length_c 4.5207
_cell_angle_alpha 90.00
_cell_angle_beta 94.91
_cell_angle_gamma 90.00
loop_
_space_group_symop_operation_xyz
'x,y,z'
'-x,-y,-z'
'-x,y,-z'
'x,-y,z'
'x+1/2,y+1/2,z'
'-x+1/2,-y+1/2,-z'
'-x+1/2,y+1/2,-z'
'x+1/2,-y+1/2,z'
loop_
_atom_site_label
_atom_site_type_symbol
_atom_site_fract_x
_atom_site_fract_y
_atom_site_fract_z
Ba1 Ba 0.0000 0.0000 0.0000
Cu1 Cu 0.2147 0.5000 0.5028
Se1 Se 0.0000 0.5000 0.5000
```

E ... -3.7738 eV per atom

---

9.
Here is crystalline BaCu2Se at its relaxed geometry from Alexandria via LeMat-Bulk. Energies are from PBE-GGA.

CIF file:
```
data_BaCu2Se
_space_group_name_H-M_alt 'I 41/a m d'
_space_group_IT_number 141
_cell_length_a 4.8323
_cell_length_b 4.8323
_cell_length_c 17.8368
_cell_angle_alpha 90.00
_cell_angle_beta 90.00
_cell_angle_gamma 90.00
loop_
_space_group_symop_operation_xyz
'x,y,z'
'-x,-y,-z'
'-y+1/4,x+3/4,z+1/4'
'y+1/4,-x+3/4,-z+1/4'
'-x+1/2,-y,z+1/2'
'x+1/2,y,-z+1/2'
'y+1/4,-x+1/4,z+3/4'
'-y+1/4,x+1/4,-z+3/4'
'x,-y,-z'
'-x,y,z'
'-y+1/4,-x+1/4,-z+3/4'
'y+1/4,x+1/4,z+3/4'
'-x+1/2,y,-z+1/2'
'x+1/2,-y,z+1/2'
'y+1/4,x+3/4,-z+1/4'
'-y+1/4,-x+3/4,z+1/4'
'x+1/2,y+1/2,z+1/2'
'-x+1/2,-y+1/2,-z+1/2'
'-y+3/4,x+1/4,z+3/4'
'y+3/4,-x+1/4,-z+3/4'
'-x,-y+1/2,z'
'x,y+1/2,-z'
'y+3/4,-x+3/4,z+1/4'
'-y+3/4,x+3/4,-z+1/4'
'x+1/2,-y+1/2,-z+1/2'
'-x+1/2,y+1/2,z+1/2'
'-y+3/4,-x+3/4,-z+1/4'
'y+3/4,x+3/4,z+1/4'
'-x,y+1/2,-z'
'x,-y+1/2,z'
'y+3/4,x+1/4,-z+3/4'
'-y+3/4,-x+1/4,z+3/4'
loop_
_atom_site_label
_atom_site_type_symbol
_atom_site_fract_x
_atom_site_fract_y
_atom_site_fract_z
Ba1 Ba 0.0000 0.2500 0.3750
Cu1 Cu 0.0000 0.0000 0.0000
Se1 Se 0.0000 0.2500 0.8750
```

E ... -3.7831 eV per atom

---

10.
Here is crystalline BaCuSe2 at its relaxed geometry from Alexandria via LeMat-Bulk. Energies are from PBE-GGA.

CIF file:
```
data_BaCuSe2
_space_group_name_H-M_alt 'I -4 2 d'
_space_group_IT_number 122
_space_group_name_Hall 'I -4 2bw'
_cell_length_a 6.0231
_cell_length_b 6.0231
_cell_length_c 13.9778
_cell_angle_alpha 90.00
_cell_angle_beta 90.00
_cell_angle_gamma 90.00
loop_
_atom_site_label
_atom_site_type_symbol
_atom_site_fract_x
_atom_site_fract_y
_atom_site_fract_z
Ba1 Ba 0.0000 0.0000 0.0000
Cu1 Cu 0.0000 0.0000 0.5000
Se1 Se 0.1294 0.2500 0.6250
```

E ... -4.0773 eV per atom

---

11.
Here is crystalline BaCu4Se4 at its relaxed geometry from Alexandria via LeMat-Bulk. Energies are from PBE-GGA.

CIF file:
```
data_BaCu4Se4
_space_group_name_H-M_alt 'I 4/m'
_space_group_IT_number 87
_space_group_name_Hall '-I 4'
_cell_length_a 9.8459
_cell_length_b 9.8459
_cell_length_c 4.1055
_cell_angle_alpha 90.00
_cell_angle_beta 90.00
_cell_angle_gamma 90.00
loop_
_atom_site_label
_atom_site_type_symbol
_atom_site_fract_x
_atom_site_fract_y
_atom_site_fract_z
Ba1 Ba 0.0000 0.0000 0.0000
Cu1 Cu 0.0827 0.6111 0.0000
Se1 Se 0.0792 0.7384 0.5000
```

E ... -4.0641 eV per atom

---

12.
Here is crystalline Ba2CuSe at its relaxed geometry from Alexandria via LeMat-Bulk. Energies are from PBE-GGA.

CIF file:
```
data_Ba2CuSe
_space_group_name_H-M_alt 'R -3 m'
_space_group_IT_number 166
_space_group_name_Hall '-R 3 2"'
_cell_length_a 4.6712
_cell_length_b 4.6712
_cell_length_c 23.8446
_cell_angle_alpha 90.00
_cell_angle_beta 90.00
_cell_angle_gamma 120.00
loop_
_atom_site_label
_atom_site_type_symbol
_atom_site_fract_x
_atom_site_fract_y
_atom_site_fract_z
Ba1 Ba 0.0000 0.0000 0.2482
Cu1 Cu 0.0000 0.0000 0.0000
Se1 Se 0.0000 0.0000 0.5000
```

E ... -3.7361 eV per atom

---

Short version: uncorrected formation energy = -0.1430, -0.7959, -0.9536, -0.1545, -0.5196, -0.8307, -0.8540, -0.3739, -0.3832, -0.8303, -0.4812, -0.8795 eV/atom, in the order given.